Entry 1:
The following is a DFT calculation (SCAN) of a crystal of KLiGa2 relaxed with PBEsol.

## Properties
Its energy of formation is 179 meV/atom. Its space-group type is Fm-3m.

Cell lengths 5.0864, 5.0864, 5.0864 Å; angles 60.00, 60.00, 60.00 degrees
Fractional coordinates of all 4 atoms:
1 Li 0.0000 0.0000 0.0000
2 Ga 0.2500 0.2500 0.2500
3 Ga 0.7500 0.7500 0.7500
4 K 0.5000 0.5000 0.5000

Entry 2:
The following is a DFT calculation (SCAN) of a crystal of La4AlBr relaxed with PBEsol.

## Properties
For the formation energy from raw total energies, the calculation gives 0.06 eV/atom. Its space-group type is F-43m.

Cell lengths 6.3486, 6.3486, 6.3486 Å; angles 60.00, 60.00, 60.00 degrees
Fractional coordinates of all 6 atoms:
1 Al 0.7500 0.7500 0.7500
2 La 0.8668 0.3777 0.3777
3 La 0.3777 0.3777 0.3777
4 La 0.3777 0.8668 0.3777
5 Br 0.0000 0.0000 0.0000
6 La 0.3777 0.3777 0.8668

Entry 3:
The following is a DFT calculation (SCAN) of a crystal of AgNF2 relaxed with PBEsol.

## Properties
For the formation energy from raw total energies, the calculation gives 0.54 eV/atom. Its space-group type is I-42d.

Cell lengths 3.6674, 3.6674, 7.4484 Å; angles 104.25, 104.25, 90.00 degrees
Fractional coordinates of all 8 atoms:
1 Ag 0.2500 0.7500 0.5000
2 F 0.4003 0.8750 0.2500
3 Ag 0.0000 0.0000 0.0000
4 N 0.7500 0.2500 0.5000
5 N 0.5000 0.5000 0.0000
6 F 0.1250 0.1503 0.7500
7 F 0.6250 0.5997 0.7500
8 F 0.8497 0.3750 0.2500

Entry 4:
The following is a DFT calculation (SCAN) of a crystal of SrS2IN relaxed with PBEsol.

## Properties
For the formation energy from raw total energies, the calculation gives 0.73 eV/atom. Its space-group type is P4/mmm.

Cell lengths 4.7986, 5.6030, 5.6030 Å; angles 90.00, 90.00, 90.00 degrees
Fractional coordinates of all 5 atoms:
1 S 0.0000 0.5000 0.0000
2 N 0.5000 0.0000 0.0000
3 Sr 0.0000 0.0000 0.0000
4 I 0.5000 0.5000 0.5000
5 S 0.0000 0.0000 0.5000

Entry 5:
The following is a DFT calculation (SCAN) of a crystal of LiCa2Bi2 relaxed with PBEsol.

## Properties
Its energy of formation is -699 meV/atom. Its space-group type is P4/mbm.

Cell lengths 3.7549, 9.0157, 9.0157 Å; angles 90.00, 90.00, 90.00 degrees
Fractional coordinates of all 10 atoms:
1 Ca 0.5000 0.3643 0.1357
2 Ca 0.5000 0.1357 0.6357
3 Li 0.0000 0.0000 0.0000
4 Bi 0.0000 0.6659 0.1659
5 Ca 0.5000 0.8643 0.3643
6 Li 0.0000 0.5000 0.5000
7 Bi 0.0000 0.3341 0.8341
8 Bi 0.0000 0.1659 0.3341
9 Bi 0.0000 0.8341 0.6659
10 Ca 0.5000 0.6357 0.8643

Entry 6:
The following is a DFT calculation (SCAN) of a crystal of CdSbRh relaxed with PBEsol.

## Properties
For the formation energy from raw total energies, the calculation gives -0.03 eV/atom. Its space-group type is P-6m2.

Cell lengths 3.2597, 4.5070, 4.5070 Å; angles 120.00, 90.00, 90.00 degrees
Fractional coordinates of all 3 atoms:
1 Sb 0.5000 0.6667 0.3333
2 Cd 0.0000 0.0000 0.0000
3 Rh 0.5000 0.3333 0.6667

Entry 7:
The following is a DFT calculation (SCAN) of a crystal of CdHg2Au relaxed with PBEsol.

## Properties
Its energy of formation is 35 meV/atom. Its space-group type is Cmmm.

Cell lengths 4.1901, 4.4154, 4.4154 Å; angles 98.32, 90.00, 90.00 degrees
Fractional coordinates of all 4 atoms:
1 Cd 0.5000 0.5000 0.5000
2 Au 0.5000 0.0000 0.0000
3 Hg 0.0000 0.0000 0.5000
4 Hg 0.0000 0.5000 0.0000

Entry 8:
The following is a DFT calculation (SCAN) of a crystal of BeCdAs relaxed with PBEsol.

## Properties
Its energy of formation is 327 meV/atom. Its space-group type is Fmm2.

Cell lengths 2.9902, 2.9902, 6.1752 Å; angles 100.34, 100.34, 105.01 degrees
Fractional coordinates of all 3 atoms:
1 As 0.9645 0.9645 0.9291
2 Be 0.3472 0.3472 0.6943
3 Cd 0.6883 0.6883 0.3766

Entry 9:
The following is a DFT calculation (SCAN) of a crystal of Na2LaPd2 relaxed with PBEsol.

## Properties
Its energy of formation is -394 meV/atom. Its space-group type is I4/mmm.

Cell lengths 3.9797, 3.9797, 7.6448 Å; angles 105.09, 105.09, 90.00 degrees
Fractional coordinates of all 5 atoms:
1 Pd 0.5934 0.5934 0.1868
2 Pd 0.4066 0.4066 0.8132
3 Na 0.2500 0.7500 0.5000
4 Na 0.7500 0.2500 0.5000
5 La 0.0000 0.0000 0.0000

Entry 10:
The following is a DFT calculation (SCAN) of a crystal of ZnS relaxed with PBEsol.

## Properties
For the formation energy from raw total energies, the calculation gives -0.94 eV/atom. Its space-group type is P3m1.

Cell lengths 3.7863, 3.7863, 74.2367 Å; angles 90.00, 90.00, 120.00 degrees
Fractional coordinates of all 48 atoms:
1 S 0.0000 0.0000 0.2604
2 S 0.0000 0.0000 0.6354
3 Zn 0.6667 0.3333 0.7500
4 Zn 0.3333 0.6667 0.8333
5 S 0.3333 0.6667 0.9271
6 Zn 0.0000 0.0000 0.1667
7 S 0.6667 0.3333 0.5938
8 S 0.0000 0.0000 0.3854
9 S 0.6667 0.3333 0.3438
10 S 0.6667 0.3333 0.0937
11 Zn 0.0000 0.0000 0.7917
12 S 0.3333 0.6667 0.1771
13 Zn 0.0000 0.0000 0.2917
14 Zn 0.0000 0.0000 0.5417
15 Zn 0.6667 0.3333 0.1250
16 S 0.0000 0.0000 0.8854
17 Zn 0.3333 0.6667 0.7083
18 Zn 0.3333 0.6667 0.9583
19 S 0.3333 0.6667 0.0105
20 S 0.0000 0.0000 0.5104
21 S 0.3333 0.6667 0.8021
22 S 0.6667 0.3333 0.9687
23 Zn 0.3333 0.6667 0.4583
24 S 0.0000 0.0000 0.0521
25 S 0.6667 0.3333 0.7188
26 S 0.6667 0.3333 0.8438
27 Zn 0.6667 0.3333 0.8750
28 Zn 0.0000 0.0000 0.0833
29 Zn 0.6667 0.3333 0.2500
30 Zn 0.0000 0.0000 0.4167
31 Zn 0.6667 0.3333 0.0000
32 Zn 0.6667 0.3333 0.3750
33 Zn 0.6667 0.3333 0.6250
34 S 0.0000 0.0000 0.1355
35 S 0.6667 0.3333 0.4688
36 Zn 0.3333 0.6667 0.5833
37 S 0.3333 0.6667 0.3021
38 Zn 0.0000 0.0000 0.6667
39 S 0.3333 0.6667 0.5521
40 Zn 0.0000 0.0000 0.9167
41 S 0.3333 0.6667 0.6771
42 Zn 0.3333 0.6667 0.3333
43 S 0.3333 0.6667 0.4271
44 S 0.6667 0.3333 0.2188
45 Zn 0.6667 0.3333 0.5000
46 S 0.0000 0.0000 0.7604
47 Zn 0.3333 0.6667 0.2083
48 Zn 0.3333 0.6667 0.0417

Entry 11:
The following is a DFT calculation (SCAN) of a crystal of LiMn2Ni relaxed with PBEsol.

## Properties
Its energy of formation is 50 meV/atom. Its space-group type is P4mm.

Cell lengths 2.8201, 2.8201, 5.4576 Å; angles 90.00, 90.00, 90.00 degrees
Fractional coordinates of all 4 atoms:
1 Ni 0.0000 0.0000 0.5024
2 Mn 0.0000 0.0000 0.0197
3 Li 0.5000 0.5000 0.7412
4 Mn 0.5000 0.5000 0.2368

Entry 12:
The following is a DFT calculation (SCAN) of a crystal of Pr2InAg relaxed with PBEsol.

## Properties
Its energy of formation is -475 meV/atom. Its space-group type is P4/mmm.

Cell lengths 3.6758, 3.6758, 7.9245 Å; angles 90.00, 90.00, 90.00 degrees
Fractional coordinates of all 4 atoms:
1 In 0.0000 0.0000 0.5000
2 Pr 0.5000 0.5000 0.2397
3 Pr 0.5000 0.5000 0.7603
4 Ag 0.0000 0.0000 0.0000

Entry 13:
The following is a DFT calculation (SCAN) of a crystal of Zr2Co relaxed with PBEsol.

## Properties
Its energy of formation is 95 meV/atom. Its space-group type is P6_3/mmc.

Cell lengths 4.6957, 4.6957, 5.4465 Å; angles 90.00, 90.00, 120.00 degrees
Fractional coordinates of all 6 atoms:
1 Co 0.3333 0.6667 0.2500
2 Co 0.6667 0.3333 0.7500
3 Zr 0.0000 0.0000 0.0000
4 Zr 0.0000 0.0000 0.5000
5 Zr 0.6667 0.3333 0.2500
6 Zr 0.3333 0.6667 0.7500